Ba6Sb3F | PBE | relaxed

Lattice parameters (Å, degrees): 10.7475 10.7475 8.1095 90.00 90.00 102.53
Last column: nearest neighbours and their distance in Å.
Sites, in units of the cell vectors:
Ba (0.0446, 0.9554, 0.5000)  1 F 2.73
Ba (0.1096, 0.5768, 0.4743)  1 F 2.72
Ba (0.2191, 0.7809, 0.9658)  1 F 2.78
Ba (0.3186, 0.3581, 0.9588)  4 Sb 3.46-3.62
Ba (0.3581, 0.3186, 0.4588)  4 Sb 3.46-3.62
Ba (0.4232, 0.8904, 0.4743)  1 F 2.72
Ba (0.5768, 0.1096, 0.9743)  1 F 2.72
Ba (0.6419, 0.6814, 0.9588)  4 Sb 3.46-3.62
Ba (0.6814, 0.6419, 0.4588)  4 Sb 3.46-3.62
Ba (0.7809, 0.2191, 0.4658)  1 F 2.78
Ba (0.8904, 0.4232, 0.9743)  1 F 2.72
Ba (0.9554, 0.0446, 0.0000)  1 F 2.73
Sb (0.0661, 0.2821, 0.6858)  7 Ba 3.46-3.78
Sb (0.2821, 0.0661, 0.1858)  7 Ba 3.46-3.78
Sb (0.3840, 0.6160, 0.2378)  7 Ba 3.47-3.62
Sb (0.6160, 0.3840, 0.7378)  7 Ba 3.47-3.62
Sb (0.7179, 0.9339, 0.6858)  7 Ba 3.46-3.78
Sb (0.9339, 0.7179, 0.1858)  7 Ba 3.46-3.78
F (0.1955, 0.8045, 0.6260)  4 Ba 2.72-2.78
F (0.8045, 0.1955, 0.1260)  4 Ba 2.72-2.78

## Properties
**Uncorrected formation energy**: -1.289 eV/atom
**Space group**: Cmc2_1 (36)


CsGePb3 | PBE | relaxed

Lattice parameters (Å, degrees): 5.8082 5.8082 5.8082 90.00 90.00 90.00
Last column: nearest neighbours and their distance in Å.
Sites, in units of the cell vectors:
Cs (0.0000, 0.0000, 0.0000)  12 Pb 4.11
Ge (0.5000, 0.5000, 0.5000)  6 Pb 2.90
Pb (0.0000, 0.5000, 0.5000)  2 Ge 2.90
Pb (0.5000, 0.0000, 0.5000)  2 Ge 2.90
Pb (0.5000, 0.5000, 0.0000)  2 Ge 2.90

## Properties
**Space group**: Pm-3m (221)
**ΔE_f**: 0.235 eV per atom
**Distance to the lowest polymorph of the same formula**: 0.0 meV per atom


Pa2I4Br5 | PBE | relaxed

Lattice parameters (Å, degrees): 7.9889 4.8146 13.2847 90.00 101.70 90.00
Last column: nearest neighbours and their distance in Å.
Sites, in units of the cell vectors:
Pa (0.0075, 0.0000, 0.2247)  3 Br 2.70-2.97
Pa (0.9925, 0.0000, 0.7753)  3 Br 2.70-2.97
I (0.1343, 0.5000, 0.6641)  2 Pa 3.15
I (0.2369, 0.5000, 0.1820)  2 Pa 3.15
I (0.7631, 0.5000, 0.8180)  2 Pa 3.15
I (0.8657, 0.5000, 0.3359)  2 Pa 3.15
Br (0.0000, 0.0000, 0.0000)  2 Pa 2.97
Br (0.2384, 0.0000, 0.4035)  1 Pa 2.70
Br (0.3288, 0.0000, 0.8630)  1 Pa 2.70
Br (0.6712, 0.0000, 0.1370)  1 Pa 2.70
Br (0.7616, 0.0000, 0.5965)  1 Pa 2.70

## Properties
**Uncorrected formation energy**: -1.123 eV/atom
**Space group**: P2/m (10)


Mg2TcSn2 | PBE | relaxed

Lattice parameters (Å, degrees): 7.1567 7.1567 4.1548 90.00 90.00 90.00
Last column: nearest neighbours and their distance in Å.
Sites, in units of the cell vectors:
Mg (0.1650, 0.3350, 0.0000)  6 Sn 2.83-3.05
Mg (0.3350, 0.8350, 0.0000)  6 Sn 2.83-3.05
Mg (0.6650, 0.1650, 0.0000)  6 Sn 2.83-3.05
Mg (0.8350, 0.6650, 0.0000)  6 Sn 2.83-3.05
Tc (0.0000, 0.0000, 0.5000)  4 Sn 2.74
Tc (0.5000, 0.5000, 0.5000)  4 Sn 2.74
Sn (0.1456, 0.6456, 0.5000)  2 Tc 2.74, 6 Mg 2.83-3.05, 1 Sn 2.95
Sn (0.3544, 0.1456, 0.5000)  2 Tc 2.74, 6 Mg 2.83-3.05, 1 Sn 2.95
Sn (0.6456, 0.8544, 0.5000)  2 Tc 2.74, 6 Mg 2.83-3.05, 1 Sn 2.95
Sn (0.8544, 0.3544, 0.5000)  2 Tc 2.74, 6 Mg 2.83-3.05, 1 Sn 2.95

## Properties
**Space group**: P4/mbm (127)
**ΔE_f**: 0.152 eV per atom


B2IrPbO6 | PBE | relaxed

Lattice parameters (Å, degrees): 6.2809 6.2809 6.2809 46.48 46.48 46.48
Last column: nearest neighbours and their distance in Å.
Sites, in units of the cell vectors:
B (0.2319, 0.2319, 0.2319)  3 O 1.39
B (0.7681, 0.7681, 0.7681)  3 O 1.39
Ir (0.5000, 0.5000, 0.5000)  6 O 2.02
Pb (0.0000, 0.0000, 0.0000)  6 O 2.56
O (0.0639, 0.7166, 0.5114)  1 B 1.39
O (0.2834, 0.4886, 0.9361)  1 B 1.39
O (0.4886, 0.9361, 0.2834)  1 B 1.39
O (0.5114, 0.0639, 0.7166)  1 B 1.39
O (0.7166, 0.5114, 0.0639)  1 B 1.39
O (0.9361, 0.2834, 0.4886)  1 B 1.39

## Properties
**Uncorrected formation energy**: -1.614 eV/atom
**Space group**: R-3 (148)


La6Tb8Dy | PBE | relaxed

Lattice parameters (Å, degrees): 8.8378 8.8378 8.8378 62.61 62.61 62.61
Last column: nearest neighbours and their distance in Å.
Sites, in units of the cell vectors:
La (0.0353, 0.7332, 0.5948)  4 Tb 3.39-3.69, 1 Dy 3.53, 2 La 3.58
La (0.2668, 0.4052, 0.9647)  4 Tb 3.39-3.69, 1 Dy 3.53, 2 La 3.58
La (0.4052, 0.9647, 0.2668)  4 Tb 3.39-3.69, 1 Dy 3.53, 2 La 3.58
La (0.5948, 0.0353, 0.7332)  4 Tb 3.39-3.69, 1 Dy 3.53, 2 La 3.58
La (0.7332, 0.5948, 0.0353)  4 Tb 3.39-3.69, 1 Dy 3.53, 2 La 3.58
La (0.9647, 0.2668, 0.4052)  4 Tb 3.39-3.69, 1 Dy 3.53, 2 La 3.58
Tb (0.0769, 0.0769, 0.0769)  4 Tb 3.26-3.46, 3 La 3.54
Tb (0.2093, 0.2594, 0.6136)  3 La 3.39-3.69, 5 Tb 3.46-3.51, 1 Dy 3.58
Tb (0.2594, 0.6136, 0.2093)  3 La 3.39-3.69, 5 Tb 3.46-3.51, 1 Dy 3.58
Tb (0.3864, 0.7907, 0.7406)  3 La 3.39-3.69, 5 Tb 3.46-3.51, 1 Dy 3.58
Tb (0.6136, 0.2093, 0.2594)  3 La 3.39-3.69, 5 Tb 3.46-3.51, 1 Dy 3.58
Tb (0.7406, 0.3864, 0.7907)  3 La 3.39-3.69, 5 Tb 3.46-3.51, 1 Dy 3.58
Tb (0.7907, 0.7406, 0.3864)  3 La 3.39-3.69, 5 Tb 3.46-3.51, 1 Dy 3.58
Tb (0.9231, 0.9231, 0.9231)  4 Tb 3.26-3.46, 3 La 3.54
Dy (0.5000, 0.5000, 0.5000)  6 La 3.53, 6 Tb 3.58

## Properties
**Space group**: R-3 (148)
**ΔE_f**: 0.111 eV per atom


Sc2TlPb | PBE | relaxed

Lattice parameters (Å, degrees): 10.7872 10.7872 10.7872 18.14 18.14 18.14
Last column: nearest neighbours and their distance in Å.
Sites, in units of the cell vectors:
Sc (0.0000, 0.0000, 0.0000)  9 Sc 3.16-3.40, 3 Tl 3.22
Sc (0.2557, 0.2557, 0.2557)  9 Sc 3.16-3.40, 3 Pb 3.32
Tl (0.7470, 0.7470, 0.7470)  3 Sc 3.22, 6 Tl 3.40, 3 Pb 3.50
Pb (0.5048, 0.5048, 0.5048)  3 Sc 3.32, 6 Pb 3.40, 3 Tl 3.50

## Properties
**Space group**: R3m (160)
**ΔE_f**: -0.024 eV per atom
**Distance to the lowest polymorph of the same formula**: 294.6 meV per atom


ErLuOsPd | PBE | relaxed

Lattice parameters (Å, degrees): 4.8024 4.8024 4.8024 60.00 60.00 60.00
Last column: nearest neighbours and their distance in Å.
Sites, in units of the cell vectors:
Er (0.0000, 0.0000, 0.0000)  4 Pd 2.94, 4 Os 2.94
Lu (0.5000, 0.5000, 0.5000)  4 Pd 2.94, 4 Os 2.94
Os (0.2500, 0.2500, 0.2500)  4 Er 2.94, 4 Lu 2.94
Pd (0.7500, 0.7500, 0.7500)  4 Er 2.94, 4 Lu 2.94

## Properties
**Space group**: F-43m (216)
**ΔE_f**: -0.628 eV per atom


Al2Pd2Se | PBE | relaxed

Lattice parameters (Å, degrees): 6.5959 6.5959 6.5959 146.25 146.25 48.48
Last column: nearest neighbours and their distance in Å.
Sites, in units of the cell vectors:
Al (0.2500, 0.7500, 0.5000)  4 Pd 2.49, 4 Al 2.71
Al (0.7500, 0.2500, 0.5000)  4 Pd 2.49, 4 Al 2.71
Pd (0.1175, 0.1175, 0.0000)  4 Al 2.49
Pd (0.8825, 0.8825, 0.0000)  4 Al 2.49
Se (0.5000, 0.5000, 0.0000)  8 Pd 3.05

## Properties
**Uncorrected formation energy**: -0.453 eV/atom
**Space group**: I4/mmm (139)
**Distance to the lowest polymorph of the same formula**: 59.5 meV per atom


MgAlTc2P | PBE | relaxed

Lattice parameters (Å, degrees): 4.5504 4.5504 4.6928 90.00 90.00 90.00
Last column: nearest neighbours and their distance in Å.
Sites, in units of the cell vectors:
Mg (0.0000, 0.0000, 0.0000)  2 Al 2.35
Al (0.0000, 0.0000, 0.5000)  4 Tc 2.28, 2 Mg 2.35
Tc (0.0000, 0.5000, 0.5000)  2 Al 2.28
Tc (0.5000, 0.0000, 0.5000)  2 Al 2.28
P (0.5000, 0.5000, 0.0000)  4 Mg 3.22, 8 Tc 3.27

## Properties
**Space group**: P4/mmm (123)
**ΔE_f**: 1.294 eV per atom


Ho2CdRh4 | PBE | relaxed

Lattice parameters (Å, degrees): 7.9532 7.9532 7.9532 33.35 33.35 33.35
Last column: nearest neighbours and their distance in Å.
Sites, in units of the cell vectors:
Ho (0.2449, 0.2449, 0.2449)  8 Rh 2.71-2.93
Ho (0.7551, 0.7551, 0.7551)  8 Rh 2.71-2.93
Cd (0.0000, 0.0000, 0.0000)  8 Rh 2.80
Rh (0.1244, 0.1244, 0.1244)  4 Ho 2.71-2.76, 1 Cd 2.80
Rh (0.3751, 0.3751, 0.3751)  3 Cd 2.80, 4 Ho 2.84-2.93
Rh (0.6249, 0.6249, 0.6249)  3 Cd 2.80, 4 Ho 2.84-2.93
Rh (0.8756, 0.8756, 0.8756)  4 Ho 2.71-2.76, 1 Cd 2.80

## Properties
**Space group**: R-3m (166)
**ΔE_f**: -0.325 eV per atom


Er3CoAu | PBE | relaxed

Lattice parameters (Å, degrees): 4.1704 6.6691 8.6175 90.00 90.00 90.00
Last column: nearest neighbours and their distance in Å.
Sites, in units of the cell vectors:
Er (0.2500, 0.0028, 0.1556)  3 Co 2.71-2.84
Er (0.2500, 0.2500, 0.5683)  1 Co 2.75, 2 Au 2.91
Er (0.2500, 0.4972, 0.1556)  3 Co 2.71-2.84
Er (0.7500, 0.5028, 0.8444)  3 Co 2.71-2.84
Er (0.7500, 0.7500, 0.4317)  1 Co 2.75, 2 Au 2.91
Er (0.7500, 0.9972, 0.8444)  3 Co 2.71-2.84
Co (0.2500, 0.2500, 0.8869)  7 Er 2.71-2.84
Co (0.7500, 0.7500, 0.1131)  7 Er 2.71-2.84
Au (0.2500, 0.7500, 0.6678)  6 Er 2.91-3.06
Au (0.7500, 0.2500, 0.3322)  6 Er 2.91-3.06

## Properties
**Space group**: Pmmn (59)
**ΔE_f**: -0.407 eV per atom
**Distance to the lowest polymorph of the same formula**: 26.0 meV per atom